A:
Compound: Zn2GaCuSe4
Source: Alexandria via LeMat-Bulk
Functional: GGA-PBEsol
Structure: optimized geometry

Values from the calculation:
The calculation puts the calculated density at 5.49 g/cm³.

abc: 5.607 5.607 6.842
angles: 114.19 114.19 90.00
Atoms (fractional coordinates):
Se (0.875, 0.875, 0.245)
Se (0.369, 0.369, 0.245)
Se (0.125, 0.631, 0.755)
Se (0.631, 0.125, 0.755)
Ga (0.500, 0.500, 0.000)
Zn (0.750, 0.250, 0.500)
Zn (0.250, 0.750, 0.500)
Cu (0.000, 0.000, 0.000)

=====

B:
Compound: Zn2GaCuSe4
Source: Alexandria via LeMat-Bulk
Functional: GGA-PBEsol
Structure: optimized geometry

Values from the calculation:
The calculation puts the calculated density at 5.41 g/cm³. The value obtained for the density of states at the Fermi level is 1.54 states/eV/cell.

abc: 3.987 3.987 13.133
angles: 81.27 81.27 60.00
Atoms (fractional coordinates):
Ga (0.750, 0.750, 0.751)
Se (0.813, 0.813, 0.561)
Se (0.564, 0.564, 0.308)
Se (0.058, 0.058, 0.826)
Se (0.315, 0.315, 0.054)
Zn (0.503, 0.503, 0.492)
Zn (0.254, 0.254, 0.239)
Cu (0.994, 0.994, 0.019)

=====

The most stable structure shown above is A; the least stable is B.